[1]
TmZr2Ga3Cu2Ni | PBE | relaxed

```
TmZr2Ga3Cu2Ni
1.0
3.886 0.000 0.000
0.000 5.792 3.349
0.000 -5.792 3.349
Tm Zr Ga Cu Ni
1 2 3 2 1
direct
0.000 0.000 0.000
0.000 0.183 0.592
0.000 0.592 0.183
0.500 0.348 0.348
0.500 0.585 0.836
0.500 0.836 0.585
0.500 0.260 0.922
0.500 0.922 0.260
0.000 0.586 0.586
```

Calculated values
SG: Amm2, No. 38

[2]
GaCuNiW | PBE | relaxed

```
GaCuNiW
1.0
0.000 2.992 2.992
2.992 0.000 2.992
2.992 2.992 0.000
Ga Cu Ni W
1 1 1 1
direct
0.000 0.000 0.000
0.250 0.250 0.250
0.500 0.500 0.500
0.750 0.750 0.750
```

Calculated values
SG: F-43m, No. 216
Relative energy among the computed polymorphs: 4.1 meV/atom

[3]
GaCuNiW | PBE | relaxed

```
GaCuNiW
1.0
0.000 2.985 2.985
2.985 0.000 2.985
2.985 2.985 0.000
Ga Cu Ni W
1 1 1 1
direct
0.000 0.000 0.000
0.250 0.250 0.250
0.750 0.750 0.750
0.500 0.500 0.500
```

Calculated values
SG: F-43m, No. 216
Relative energy among the computed polymorphs: 0.0 meV/atom

[4]
Zr2Ga2CuNi3 | PBE | relaxed

```
Zr2Ga2CuNi3
1.0
4.140 0.000 0.000
-2.070 3.585 0.000
0.000 0.000 8.052
Zr Ga Cu Ni
2 2 1 3
direct
0.000 0.000 0.000
0.333 0.667 0.488
0.667 0.333 0.245
0.667 0.333 0.759
0.000 0.000 0.659
0.000 0.000 0.334
0.333 0.667 0.160
0.333 0.667 0.828
```

Calculated values
SG: P3m1, No. 156

Number 1: calculated total energy -48.24 eV/cell, mass density 8.2 g cm⁻³. Number 2: calculated total energy -24.37 eV/cell, mass density 11.7 g cm⁻³. Number 3: calculated total energy -24.39 eV/cell, mass density 11.7 g cm⁻³. Number 4: calculated total energy -47.73 eV/cell, mass density 7.8 g cm⁻³.